VASP calculation (PBE) on a relaxed structure of KTaCl4.

The space group is F-43m (No. 216) and the conventional cell measures 8.487, 8.487 and 8.487 Å, with angles of 90.00, 90.00 and 90.00 degrees. Symmetry generates all atoms from K at (0.000, 0.000, 0.000), Ta at (0.250, 0.250, 0.750) and Cl at (0.123, 0.123, 0.377).

The value obtained for the formation energy without anion corrections is 0.578 eV/atom. The value obtained for the distance to the lowest polymorph of the same formula is 185.2 kJ/mol of atoms. The density of states at the Fermi level comes out at 7.2 states/eV/f.u. As for the total energy: -2.81 eV per atom. The size of the total moment is 2.0 μB/f.u.